Entry from Alexandria: a geometry-optimized Si2Ni9Sb structure (PBE-GGA).

Results
* SG: P4/mmm, No. 123
* formation energy without anion corrections: -0.3390 eV per atom

POSCAR file:
```
Si2Ni9Sb
1.0
3.5958 0.0000 0.0000
0.0000 3.5958 0.0000
0.0000 0.0000 10.6767
Ni Si Sb
9 2 1
direct
0.0000 0.5000 0.1822
0.5000 0.5000 0.3402
0.5000 0.0000 0.1822
0.5000 0.5000 0.0000
0.0000 0.5000 0.8178
0.5000 0.5000 0.6598
0.5000 0.0000 0.8178
0.5000 0.0000 0.5000
0.0000 0.5000 0.5000
0.0000 0.0000 0.3411
0.0000 0.0000 0.6589
0.0000 0.0000 0.0000
```

---

Entry from Alexandria: a geometry-optimized TlIn12Hg6 structure (PBE-GGA).

Results
* calculated formation energy: 0.068 eV/atom
* SG: R-3m, No. 166
* excess energy over the best structure of this formula in the dataset: 0.011 eV per atom

POSCAR file:
```
TlIn12Hg6
1.0
8.6673 -2.1647 -1.0345
-0.8696 8.8911 -1.0345
-2.5095 -2.1647 8.3603
Hg In Tl
6 12 1
direct
0.7817 0.7818 0.1688
0.2183 0.2182 0.8312
0.8312 0.2183 0.2182
0.1688 0.7817 0.7818
0.2182 0.8312 0.2183
0.7818 0.1688 0.7817
0.1216 0.1217 0.4405
0.8784 0.8783 0.5595
0.5103 0.5103 0.2007
0.5595 0.8784 0.8783
0.7993 0.4897 0.4897
0.2007 0.5103 0.5103
0.4405 0.1216 0.1217
0.1217 0.4405 0.1216
0.8783 0.5595 0.8784
0.4897 0.7993 0.4897
0.4897 0.4897 0.7993
0.5103 0.2007 0.5103
0.0000 0.0000 0.0000
```

---

Entry from Alexandria: a geometry-optimized Ba2ErNb3O12 structure (PBE-GGA).

Results
* SG: R-3m, No. 166
* formation energy without anion corrections: -2.5236 eV per atom

POSCAR file:
```
Ba2ErNb3O12
1.0
-5.8820 4.0235 0.9297
-4.9648 -0.5006 -5.1721
-5.9774 -3.5822 1.7575
Nb O Ba Er
3 12 2 1
direct
0.0000 0.5000 0.0000
0.0000 0.0000 0.5000
0.5000 0.0000 0.0000
0.8854 0.8854 0.3749
0.1146 0.1146 0.6251
0.0838 0.7086 0.7086
0.3749 0.8854 0.8854
0.9162 0.2914 0.2914
0.2914 0.9162 0.2914
0.8854 0.3749 0.8854
0.7086 0.7086 0.0838
0.1146 0.6251 0.1146
0.7086 0.0838 0.7086
0.6251 0.1146 0.1146
0.2914 0.2914 0.9162
0.6292 0.6292 0.6292
0.3708 0.3708 0.3708
0.0000 0.0000 0.0000
```

---

Entry from Alexandria: a geometry-optimized NbCd3O structure (PBE-GGA).

Results
* SG: Pm-3m, No. 221
* formation energy without anion corrections: 1.4778 eV per atom
* excess energy over the best structure of this formula in the dataset: 1.154 eV per atom

POSCAR file:
```
NbCd3O
1.0
-1.1007 -1.6471 -5.1262
-2.6611 -4.3821 1.9794
-4.6807 2.8786 0.0801
Cd Nb O
3 1 1
direct
0.5000 0.0000 0.0000
0.0000 0.5000 0.0000
0.0000 0.0000 0.5000
0.0000 0.0000 0.0000
0.5000 0.5000 0.5000
```

---

Entry from Alexandria: a geometry-optimized Nd4IrI2N structure (PBE-GGA).

Results
* SG: P2/m, No. 10
* formation energy without anion corrections: -0.9839 eV per atom

POSCAR file:
```
Nd4IrI2N
1.0
-3.0120 -0.2102 -2.5831
4.6394 -0.6678 -5.3554
-1.7158 -7.6679 2.6247
Ir Nd I N
1 4 2 1
direct
0.5000 0.5000 0.0000
0.0000 0.2517 0.8211
0.5000 0.7996 0.8270
0.5000 0.2004 0.1730
0.0000 0.7483 0.1789
0.0000 0.5000 0.5000
0.5000 0.0000 0.5000
0.0000 0.0000 0.0000
```

---

Entry from Alexandria: a geometry-optimized CoSe2Br structure (PBE-GGA).

Results
* SG: P1, No. 1
* formation energy without anion corrections: -0.1199 eV per atom
* excess energy over the best structure of this formula in the dataset: 0.086 eV per atom

POSCAR file:
```
CoSe2Br
1.0
4.4682 -0.0096 -0.0120
-1.6130 8.3657 -0.1137
1.1540 0.3182 5.7930
Se Co Br
4 2 2
direct
0.1292 0.6057 0.7354
0.8816 0.2153 0.0121
0.4610 0.3723 0.0747
0.8321 0.4190 0.5158
0.2725 0.3532 0.7278
0.9670 0.4904 0.1128
0.3256 0.0932 0.5977
0.2252 0.7477 0.1865
```